{
  "formula": "LiLuInFe",
  "functional": "GGA-PBE",
  "state": "relaxed",
  "lattice": [[0.0000, 3.3619, 3.3619], [3.3619, 0.0000, 3.3619], [3.3619, 3.3619, 0.0000]],
  "species": ["Li", "Lu", "In", "Fe"],
  "fractional_positions": [[0.0000, 0.0000, 0.0000], [0.2500, 0.2500, 0.2500], [0.5000, 0.5000, 0.5000], [0.7500, 0.7500, 0.7500]],
  "de_polymorph_mev_per_atom": 118.6,
  "volume_a3_per_atom": 18.999,
  "rho_g_cm3": 7.704
}